No. 1
Entry from Alexandria via LeMat-Bulk: a relaxed structure of Li2FeSi (GGA-PBE).

Geometry as POSCAR:
```
Li2FeSi
1.0
-2.616 -0.749 1.045
0.695 -2.823 -0.282
2.286 -0.008 5.716
Fe Li Si
1 2 1
Cartesian
0.671 -1.792 4.460
2.218 -0.008 5.544
-0.340 -1.788 1.932
1.246 -0.005 3.115
```

Properties
D(E_F) = 0.82 states/eV/atom
Total DFT energy (no corrections) = -0.1651 Ha/atom
Space-group type = P4mm
Formation energy from raw total energies = -0.06 eV per atom
V = 13.11 A^3/atom


No. 2
Entry from Alexandria via LeMat-Bulk: a relaxed structure of ThZn4Cr (GGA-PBE).

Geometry as POSCAR:
```
ThZn4Cr
1.0
5.307 0.000 0.000
2.654 4.596 0.000
2.654 1.532 4.333
Cr Zn Th
1 4 1
Cartesian
2.654 1.532 1.083
5.307 3.064 0.563
5.307 1.552 2.701
6.617 3.820 2.701
3.998 3.820 2.701
0.000 0.000 0.000
```

Properties
ΔE_f = -0.016 eV per atom
D(E_F) = 0.60 states/eV/atom
Total DFT energy (no corrections) = -0.1362 Ha/atom
Space-group type = F-43m
V = 17.62 A^3/atom


> What is the D(E_F) in the second record?

0.60 states/eV/atom